[1]
# CoSbBr4, optimized geometry, DFT GGA-PBE
# formation energy (no corrections) = 6.49 eV/f.u.
data_CoSbBr4
_symmetry_space_group_name_H-M 'F -4 3 m'
_symmetry_Int_Tables_number 216
_symmetry_space_group_name_Hall 'F -4 2 3'
_cell_length_a 8.7464
_cell_length_b 8.7464
_cell_length_c 8.7464
_cell_angle_alpha 90.00
_cell_angle_beta 90.00
_cell_angle_gamma 90.00
loop_
_atom_site_label
_atom_site_fract_x
_atom_site_fract_y
_atom_site_fract_z
Co1 0.0000 0.0000 0.0000
Sb1 0.2500 0.2500 0.7500
Br1 0.1260 0.1260 0.3740

***

[2]
# CoSb2Br, optimized geometry, DFT GGA-PBE
# energy above the lowest structure with this stoichiometry = 0.811 eV/atom
# formation energy (no corrections) = 2.65 eV/f.u.
data_CoSb2Br
_symmetry_space_group_name_H-M 'P 4/m m m'
_symmetry_Int_Tables_number 123
_symmetry_space_group_name_Hall '-P 4 2'
_cell_length_a 4.1914
_cell_length_b 4.1914
_cell_length_c 5.6130
_cell_angle_alpha 90.00
_cell_angle_beta 90.00
_cell_angle_gamma 90.00
loop_
_atom_site_label
_atom_site_fract_x
_atom_site_fract_y
_atom_site_fract_z
Co1 0.0000 0.0000 0.0000
Sb1 0.0000 0.5000 0.5000
Br1 0.5000 0.5000 0.0000

***

[3]
# CoSb2Br, optimized geometry, DFT GGA-PBE
# energy above the lowest structure with this stoichiometry = 0.413 eV/atom
# formation energy (no corrections) = 1.06 eV/f.u.
data_CoSb2Br
_symmetry_space_group_name_H-M 'I m m m'
_symmetry_Int_Tables_number 71
_symmetry_space_group_name_Hall '-I 2 2'
_cell_length_a 3.2240
_cell_length_b 5.0137
_cell_length_c 11.5841
_cell_angle_alpha 90.00
_cell_angle_beta 90.00
_cell_angle_gamma 90.00
loop_
_atom_site_label
_atom_site_fract_x
_atom_site_fract_y
_atom_site_fract_z
Co1 0.0000 0.0000 0.0000
Sb1 0.0000 0.5000 0.3189
Br1 0.0000 0.0000 0.5000

***

[4]
# CoSb2Br, optimized geometry, DFT GGA-PBE
# energy above the lowest structure with this stoichiometry = 0.709 eV/atom
# formation energy (no corrections) = 2.25 eV/f.u.
data_CoSb2Br
_symmetry_space_group_name_H-M 'P m m m'
_symmetry_Int_Tables_number 47
_cell_length_a 3.2843
_cell_length_b 4.8676
_cell_length_c 5.8444
_cell_angle_alpha 90.00
_cell_angle_beta 90.00
_cell_angle_gamma 90.00
loop_
_symmetry_equiv_pos_as_xyz
'x,y,z'
'-x,-y,-z'
'-x,-y,z'
'x,y,-z'
'x,-y,-z'
'-x,y,z'
'-x,y,-z'
'x,-y,z'
loop_
_atom_site_label
_atom_site_fract_x
_atom_site_fract_y
_atom_site_fract_z
Co1 0.0000 0.0000 0.0000
Sb1 0.0000 0.5000 0.5000
Sb2 0.5000 0.5000 0.0000
Br1 0.5000 0.0000 0.5000